Here is an optimized crystal structure of Rb3TbU2Se6 from the Alexandria database. Energies are from PBE-GGA.

Computed properties:
Space-group type: C2/m, No. 12
DOS at the Fermi energy (states/eV/cell): 9.42

Geometry as POSCAR:
```
Rb3TbU2Se6
1.0
7.3703 -0.0010 0.0000
-3.6842 6.3834 0.0000
-1.2291 -2.1282 8.0454
Rb Tb U Se
3 1 2 6
Direct
0.1663 0.8337 0.5000
0.8337 0.1663 0.5000
0.5000 0.5000 0.5000
0.0000 0.0000 0.0000
0.3333 0.6667 0.0000
0.6667 0.3333 0.0000
0.3990 0.0660 0.1978
0.0660 0.3990 0.1978
0.7328 0.7328 0.1976
0.9340 0.6010 0.8022
0.2672 0.2672 0.8024
0.6010 0.9340 0.8022
```



Here is an optimized crystal structure of Rb2TbU2Se6 from the Alexandria database. Energies are from PBE-GGA.

Computed properties:
Space-group type: C2/m, No. 12
DOS at the Fermi energy (states/eV/cell): 12.64

Geometry as POSCAR:
```
Rb2TbU2Se6
1.0
7.2676 -0.0275 0.0747
-3.6160 6.3043 0.0747
-1.2868 -2.2118 8.1597
U Rb Se Tb
2 2 6 1
Direct
0.6661 0.3339 0.5000
0.3339 0.6661 0.5000
0.1657 0.8343 0.0000
0.8343 0.1657 0.0000
0.3986 0.0626 0.6918
0.6014 0.9374 0.3082
0.2715 0.2715 0.3077
0.9374 0.6014 0.3082
0.7285 0.7285 0.6923
0.0626 0.3986 0.6918
0.0000 0.0000 0.5000
```



Here is an optimized crystal structure of Rb4Tb3USe8 from the Alexandria database. Energies are from PBE-GGA.

Computed properties:
Space-group type: R-3m, No. 166
DOS at the Fermi energy (states/eV/cell): 9.58

Geometry as POSCAR:
```
Rb4Tb3USe8
1.0
8.5354 0.0000 0.0000
0.0000 9.3894 0.5955
-4.2677 -4.2687 6.0365
Se Rb Tb U
8 4 3 1
Direct
0.7322 0.6962 0.4644
0.7669 0.3032 0.5339
0.2331 0.6968 0.4661
0.7669 0.3032 0.0359
0.2331 0.6968 0.9641
0.2678 0.3038 0.5356
0.7310 0.6968 0.9641
0.2690 0.3032 0.0359
0.5000 0.0000 0.0000
0.0000 0.0000 0.0000
0.0000 0.0000 0.5000
0.5000 0.0000 0.5000
0.0000 0.5000 0.5000
0.5000 0.5000 0.0000
0.5000 0.5000 0.5000
0.0000 0.5000 0.0000
```



Here is an optimized crystal structure of Rb3TbU3Se8 from the Alexandria database. Energies are from PBE-GGA.

Computed properties:
Space-group type: R-3m, No. 166
DOS at the Fermi energy (states/eV/cell): 17.13

Geometry as POSCAR:
```
Rb3TbU3Se8
1.0
-4.9161 -5.4322 4.1379
7.6848 1.7884 2.9228
-6.5855 6.7656 1.0579
Rb Se Tb U
3 8 1 3
Direct
0.5000 0.5000 0.0000
0.0000 0.0000 0.0000
0.0000 0.5000 0.0000
0.2320 0.4640 0.6935
0.2703 0.0383 0.3065
0.7680 0.0383 0.3065
0.2677 0.5353 0.3031
0.2320 0.9617 0.6935
0.7323 0.4647 0.6969
0.7680 0.5360 0.3065
0.7297 0.9617 0.6935
0.0000 0.0000 0.5000
0.5000 0.0000 0.5000
0.0000 0.5000 0.5000
0.5000 0.5000 0.5000
```



Here is an optimized crystal structure of Rb2TbUSe6 from the Alexandria database. Energies are from PBE-GGA.

Computed properties:
Space-group type: Fm-3m, No. 225
DOS at the Fermi energy (states/eV/cell): 12.18

Geometry as POSCAR:
```
Rb2TbUSe6
1.0
-3.3779 6.0080 -3.6041
-0.6216 -4.2440 -6.4921
-9.8715 -3.5794 3.2850
Se Rb Tb U
12 4 2 2
Direct
0.0000 0.7505 0.2432
0.5000 0.2495 0.2568
0.5000 0.2495 0.7432
0.7568 0.9931 0.0000
0.2568 0.0069 0.5000
0.7433 0.4931 0.5000
0.7567 0.5069 0.0000
0.0000 0.7505 0.7568
0.7432 0.0069 0.5000
0.2432 0.9931 0.0000
0.2567 0.4931 0.5000
0.2433 0.5069 0.0000
0.5000 0.7500 0.7501
0.0000 0.2500 0.7499
0.5000 0.7500 0.2499
0.0000 0.2500 0.2501
0.5000 0.2499 0.0000
0.0000 0.7501 0.5000
0.0000 0.7500 0.0000
0.5000 0.2500 0.5000
```



Here is an optimized crystal structure of RbTbUSe4 from the Alexandria database. Energies are from PBE-GGA.

Computed properties:
Space-group type: Imma, No. 74
DOS at the Fermi energy (states/eV/cell): 9.08

Geometry as POSCAR:
```
RbTbUSe4
1.0
8.9196 0.0000 0.0000
-4.4598 7.5781 -0.6229
0.0000 -4.6443 7.6377
Se U Tb Rb
8 2 2 2
Direct
0.6877 0.9585 0.7293
0.2647 0.5294 0.7176
0.7292 0.0415 0.2707
0.2708 0.9585 0.7293
0.7353 0.4706 0.6881
0.3123 0.0415 0.2707
0.7353 0.4706 0.2824
0.2647 0.5294 0.3119
0.5000 0.5000 0.5000
0.0000 0.5000 0.5000
0.5000 0.0000 0.5000
0.5000 0.0000 0.0000
0.1245 0.2491 0.8745
0.8755 0.7509 0.1255
```



no.,calculated total energy (eV per atom)
1,-5.6265
2,-5.9700
3,-5.1539
4,-5.9787
5,-5.1063
6,-5.8053